Entry 1:
First-principles (PBE) data for a relaxed structure of GaBiF2, as listed in Alexandria.

POSCAR file:
```
GaBiF2
1.0
-6.275 5.703 0.757
-3.803 7.340 2.034
-4.229 7.296 -1.166
Bi Ga F
1 1 2
Direct
0.500 0.500 0.500
0.000 0.000 0.000
0.911 0.911 0.911
0.089 0.089 0.089
```

Results
Relative energy among the computed polymorphs = 0.143 eV per atom
SG = No. 166


Entry 2:
First-principles (PBE) data for a relaxed structure of CaLaBr2, as listed in Alexandria.

POSCAR file:
```
CaLaBr2
1.0
-2.553 4.850 -3.945
-1.815 -6.037 -0.278
-3.340 -0.471 1.962
Ca Br La
1 2 1
Direct
0.000 0.500 0.500
0.000 0.000 0.000
0.500 0.000 0.500
0.500 0.500 0.000
```

Results
Relative energy among the computed polymorphs = 0.141 eV per atom
SG = No. 12


Entry 3:
First-principles (PBE) data for a relaxed structure of Tl6TeI2Cl2, as listed in Alexandria.

POSCAR file:
```
Tl6TeI2Cl2
1.0
-3.080 2.371 7.535
-0.481 -7.519 -3.888
8.547 0.296 1.688
Tl Te I Cl
6 1 2 2
Direct
0.720 0.720 0.703
0.115 0.441 0.738
0.280 0.280 0.297
0.441 0.115 0.738
0.885 0.559 0.262
0.559 0.885 0.262
0.000 0.000 0.500
0.855 0.145 0.000
0.145 0.855 0.000
0.300 0.700 0.500
0.700 0.300 0.500
```

Results
SG = No. 12
DFT total energy = -2.847 eV/atom


Entry 4:
First-principles (PBE) data for a relaxed structure of AcTbMgCd, as listed in Alexandria.

POSCAR file:
```
AcTbMgCd
1.0
-0.974 3.131 -4.513
-4.727 -0.662 -2.887
-3.933 3.953 0.144
Ac Tb Mg Cd
1 1 1 1
Direct
0.000 0.000 0.000
0.500 0.500 0.500
0.250 0.250 0.250
0.750 0.750 0.750
```

Results
Relative energy among the computed polymorphs = 0.027 eV per atom
Energy of formation = -153.5 meV/atom
SG = No. 216


Result set for mass density: 7.015, 4.378, 6.308, 7.072 g cm⁻³, one per record in the order listed.
Result set for magnetization: 0.0, 0.0, 0.0, 0.0 μB per formula unit, one per record in the order listed.